Record 1
VASP calculation (PBE) on crystalline In2Ag2Au at its relaxed geometry.

DFT formation energy   0.06 eV per atom
E above lowest polymorph   38 meV per atom
N(E_F)   0.31 states/eV/atom

Cell lengths 3.8501, 3.8501, 7.9055 Å; angles 75.91, 75.91, 90.00 degrees
Sites, in units of the cell vectors:
Au 0.0000 0.0000 0.0000
Ag 0.7500 0.2500 0.5000
Ag 0.2500 0.7500 0.5000
In 0.4025 0.4025 0.1950
In 0.5975 0.5975 0.8050

Record 2
VASP calculation (PBE) on crystalline Ba2Ag at its relaxed geometry.

DFT formation energy   0.23 eV per atom
E above lowest polymorph   407 meV per atom
N(E_F)   1.24 states/eV/atom

Cell lengths 5.8479, 5.8479, 7.6202 Å; angles 90.00, 90.00, 120.00 degrees
Sites, in units of the cell vectors:
Ba 0.6667 0.3333 0.4704
Ba 0.3333 0.6667 0.9704
Ba 0.3333 0.6667 0.5296
Ba 0.6667 0.3333 0.0296
Ag 0.0000 0.0000 0.2500
Ag 0.0000 0.0000 0.7500

Record 3
VASP calculation (PBE) on crystalline PmCd4Ag7 at its relaxed geometry.

DFT formation energy   0.05 eV per atom
N(E_F)   0.39 states/eV/atom

Cell lengths 5.3094, 9.3201, 6.0873 Å; angles 84.00, 64.14, 73.45 degrees
Sites, in units of the cell vectors:
Pm 0.0000 0.0000 0.0000
Cd 0.5918 0.2253 0.5911
Cd 0.4082 0.7747 0.4089
Cd 0.7235 0.6828 0.8701
Cd 0.2765 0.3172 0.1299
Ag 0.7852 0.9084 0.5213
Ag 0.2148 0.0916 0.4787
Ag 0.0437 0.6240 0.2887
Ag 0.9563 0.3760 0.7113
Ag 0.3466 0.5440 0.7627
Ag 0.5000 0.0000 0.0000
Ag 0.6534 0.4560 0.2373